# 1
The following is a PBE calculation of a relaxed Tb6PrHo3Tm2 crystal, from Alexandria.

a b c (Å): 6.146 6.146 11.777
angles (deg): 94.97 94.97 119.95
Fractional positions:
Tb 0.081 0.415 0.249
Tb 0.250 0.250 0.751
Tb 0.415 0.081 0.249
Tb 0.585 0.919 0.751
Tb 0.750 0.750 0.249
Tb 0.919 0.585 0.751
Pr 0.500 0.500 0.500
Ho 0.000 0.000 0.000
Ho 0.333 0.667 0.000
Ho 0.667 0.333 0.000
Tm 0.167 0.833 0.500
Tm 0.833 0.167 0.500

Values from the calculation:
Total magnetization (μB/f.u.): 0.0
Crystal system: monoclinic
Volume (Å³/atom): 31.636
Formation enthalpy at 0 K (eV per atom): 0.02
SG: No. 12

# 2
The following is a PBE calculation of a relaxed TbPrHoTm crystal, from Alexandria.

a b c (Å): 8.050 8.050 8.050
angles (deg): 90.00 90.00 90.00
Fractional positions:
Tb 0.000 0.000 0.000
Tb 0.000 0.500 0.500
Tb 0.500 0.000 0.500
Tb 0.500 0.500 0.000
Pr 0.000 0.000 0.500
Pr 0.000 0.500 0.000
Pr 0.500 0.000 0.000
Pr 0.500 0.500 0.500
Ho 0.250 0.250 0.250
Ho 0.250 0.750 0.750
Ho 0.750 0.250 0.750
Ho 0.750 0.750 0.250
Tm 0.250 0.250 0.750
Tm 0.250 0.750 0.250
Tm 0.750 0.250 0.250
Tm 0.750 0.750 0.750

Values from the calculation:
Total magnetization (μB/f.u.): 0.0
Crystal system: cubic
Volume (Å³/atom): 32.606
Formation enthalpy at 0 K (eV per atom): 0.12
SG: No. 216

# 3
The following is a PBE calculation of a relaxed TbPr2Ho4Tm crystal, from Alexandria.

a b c (Å): 9.511 9.511 6.801
angles (deg): 110.94 110.94 88.30
Fractional positions:
Tb 0.000 0.500 0.000
Tb 0.500 0.000 0.500
Pr 0.000 0.000 0.000
Pr 0.000 0.000 0.500
Pr 0.000 0.500 0.500
Pr 0.500 0.000 0.000
Ho 0.255 0.257 0.007
Ho 0.256 0.744 0.001
Ho 0.256 0.744 0.499
Ho 0.257 0.255 0.507
Ho 0.743 0.745 0.493
Ho 0.744 0.256 0.501
Ho 0.744 0.256 0.999
Ho 0.745 0.743 0.993
Tm 0.500 0.500 0.000
Tm 0.500 0.500 0.500

Values from the calculation:
Total magnetization (μB/f.u.): 1.5
Crystal system: monoclinic
Volume (Å³/atom): 33.329
Formation enthalpy at 0 K (eV per atom): 0.42
SG: No. 15

# 4
The following is a PBE calculation of a relaxed Tb6Pr3Ho2Tm crystal, from Alexandria.

a b c (Å): 6.217 6.217 11.877
angles (deg): 95.00 95.00 119.99
Fractional positions:
Tb 0.082 0.415 0.244
Tb 0.251 0.251 0.755
Tb 0.415 0.082 0.244
Tb 0.585 0.918 0.756
Tb 0.749 0.749 0.245
Tb 0.918 0.585 0.756
Pr 0.167 0.833 0.500
Pr 0.500 0.500 0.500
Pr 0.833 0.167 0.500
Ho 0.333 0.667 0.000
Ho 0.667 0.333 0.000
Tm 0.000 0.000 0.000

Values from the calculation:
Total magnetization (μB/f.u.): 0.0
Crystal system: monoclinic
Volume (Å³/atom): 32.632
Formation enthalpy at 0 K (eV per atom): 0.02
SG: No. 12

# 5
The following is a PBE calculation of a relaxed Tb3PrHo6Tm2 crystal, from Alexandria.

a b c (Å): 6.129 6.129 11.742
angles (deg): 94.97 94.97 119.96
Fractional positions:
Tb 0.000 0.000 0.000
Tb 0.333 0.667 0.000
Tb 0.667 0.333 0.000
Pr 0.500 0.500 0.500
Ho 0.082 0.416 0.250
Ho 0.249 0.249 0.750
Ho 0.416 0.082 0.250
Ho 0.584 0.918 0.750
Ho 0.751 0.751 0.250
Ho 0.918 0.584 0.750
Tm 0.167 0.833 0.500
Tm 0.833 0.167 0.500

Values from the calculation:
Total magnetization (μB/f.u.): 0.0
Crystal system: monoclinic
Volume (Å³/atom): 31.369
Formation enthalpy at 0 K (eV per atom): 0.02
SG: No. 12

# 6
The following is a PBE calculation of a relaxed TbPr3Ho2Tm6 crystal, from Alexandria.

a b c (Å): 6.172 6.172 11.705
angles (deg): 95.03 95.03 119.97
Fractional positions:
Tb 0.000 0.000 0.000
Pr 0.167 0.833 0.500
Pr 0.500 0.500 0.500
Pr 0.833 0.167 0.500
Ho 0.333 0.667 0.000
Ho 0.667 0.333 0.000
Tm 0.082 0.415 0.246
Tm 0.251 0.251 0.754
Tm 0.415 0.082 0.246
Tm 0.585 0.918 0.754
Tm 0.749 0.749 0.246
Tm 0.918 0.585 0.754

Values from the calculation:
Total magnetization (μB/f.u.): 0.0
Crystal system: monoclinic
Volume (Å³/atom): 31.695
Formation enthalpy at 0 K (eV per atom): 0.02
SG: No. 12

# 7
The following is a PBE calculation of a relaxed TbPr2HoTm crystal, from Alexandria.

a b c (Å): 7.154 7.154 7.324
angles (deg): 90.00 90.00 107.30
Fractional positions:
Tb 0.226 0.774 0.750
Tb 0.774 0.226 0.250
Pr 0.195 0.195 0.000
Pr 0.195 0.195 0.500
Pr 0.805 0.805 0.000
Pr 0.805 0.805 0.500
Ho 0.231 0.769 0.250
Ho 0.769 0.231 0.750
Tm 0.495 0.505 0.750
Tm 0.505 0.495 0.250

Values from the calculation:
Total magnetization (μB/f.u.): 0.0
Crystal system: orthorhombic
Volume (Å³/atom): 35.783
Formation enthalpy at 0 K (eV per atom): 0.42
SG: No. 63

# 8
The following is a PBE calculation of a relaxed TbPrHo2Tm5 crystal, from Alexandria.

a b c (Å): 10.215 10.215 10.493
angles (deg): 90.00 90.00 148.40
Fractional positions:
Tb 0.201 0.799 0.500
Tb 0.799 0.201 0.000
Pr 0.417 0.583 0.939
Pr 0.583 0.417 0.439
Ho 0.111 0.889 0.222
Ho 0.113 0.887 0.807
Ho 0.887 0.113 0.307
Ho 0.889 0.111 0.722
Tm 0.018 0.982 0.514
Tm 0.281 0.719 0.800
Tm 0.299 0.701 0.198
Tm 0.388 0.612 0.510
Tm 0.478 0.522 0.223
Tm 0.522 0.478 0.723
Tm 0.612 0.388 0.010
Tm 0.701 0.299 0.698
Tm 0.719 0.281 0.300
Tm 0.982 0.018 0.014

Values from the calculation:
Total magnetization (μB/f.u.): 0.0
Crystal system: orthorhombic
Volume (Å³/atom): 31.870
Formation enthalpy at 0 K (eV per atom): 0.17
SG: No. 36

# 9
The following is a PBE calculation of a relaxed Tb6PrHo2Tm3 crystal, from Alexandria.

a b c (Å): 6.144 6.144 11.756
angles (deg): 94.98 94.98 119.95
Fractional positions:
Tb 0.081 0.415 0.247
Tb 0.251 0.251 0.753
Tb 0.415 0.081 0.247
Tb 0.585 0.919 0.753
Tb 0.749 0.749 0.247
Tb 0.919 0.585 0.753
Pr 0.500 0.500 0.500
Ho 0.167 0.833 0.500
Ho 0.833 0.167 0.500
Tm 0.000 0.000 0.000
Tm 0.333 0.667 0.000
Tm 0.667 0.333 0.000

Values from the calculation:
Total magnetization (μB/f.u.): 0.0
Crystal system: monoclinic
Volume (Å³/atom): 31.552
Formation enthalpy at 0 K (eV per atom): 0.02
SG: No. 12

# 10
The following is a PBE calculation of a relaxed Tb2Pr2HoTm crystal, from Alexandria.

a b c (Å): 7.039 5.667 9.829
angles (deg): 90.00 90.00 90.00
Fractional positions:
Tb 0.250 0.000 0.164
Tb 0.250 0.500 0.667
Tb 0.750 0.000 0.836
Tb 0.750 0.500 0.333
Pr 0.000 0.500 0.000
Pr 0.250 0.000 0.821
Pr 0.500 0.500 0.000
Pr 0.750 0.000 0.179
Ho 0.250 0.500 0.342
Ho 0.750 0.500 0.658
Tm 0.000 0.000 0.500
Tm 0.500 0.000 0.500

Values from the calculation:
Total magnetization (μB/f.u.): 0.0
Crystal system: orthorhombic
Volume (Å³/atom): 32.672
Formation enthalpy at 0 K (eV per atom): 0.07
SG: No. 51

# 11
The following is a PBE calculation of a relaxed TbPrY2Ho5 crystal, from Alexandria.

a b c (Å): 10.282 10.282 10.583
angles (deg): 90.00 90.00 148.25
Fractional positions:
Tb 0.201 0.799 0.500
Tb 0.799 0.201 0.000
Pr 0.417 0.583 0.941
Pr 0.583 0.417 0.441
Y 0.111 0.889 0.222
Y 0.113 0.887 0.809
Y 0.887 0.113 0.309
Y 0.889 0.111 0.722
Ho 0.019 0.981 0.514
Ho 0.282 0.718 0.800
Ho 0.298 0.702 0.197
Ho 0.389 0.611 0.511
Ho 0.479 0.521 0.225
Ho 0.521 0.479 0.725
Ho 0.611 0.389 0.011
Ho 0.702 0.298 0.697
Ho 0.718 0.282 0.300
Ho 0.981 0.019 0.014

Values from the calculation:
Total magnetization (μB/f.u.): 0.0
Crystal system: orthorhombic
Volume (Å³/atom): 32.711
Formation enthalpy at 0 K (eV per atom): 0.16
SG: No. 36

# 12
The following is a PBE calculation of a relaxed Tb2PrYHo crystal, from Alexandria.

a b c (Å): 7.156 7.156 7.239
angles (deg): 90.00 90.00 107.74
Fractional positions:
Tb 0.190 0.190 0.000
Tb 0.190 0.190 0.500
Tb 0.810 0.810 0.000
Tb 0.810 0.810 0.500
Pr 0.227 0.773 0.750
Pr 0.773 0.227 0.250
Y 0.498 0.502 0.750
Y 0.502 0.498 0.250
Ho 0.223 0.777 0.250
Ho 0.777 0.223 0.750

Values from the calculation:
Total magnetization (μB/f.u.): 0.0
Crystal system: orthorhombic
Volume (Å³/atom): 35.303
Formation enthalpy at 0 K (eV per atom): 0.39
SG: No. 63

# 13
The following is a PBE calculation of a relaxed TbPr2Y3Ho6 crystal, from Alexandria.

a b c (Å): 6.188 6.188 11.821
angles (deg): 94.99 94.99 119.96
Fractional positions:
Tb 0.000 0.000 0.000
Pr 0.333 0.667 0.000
Pr 0.667 0.333 0.000
Y 0.166 0.834 0.500
Y 0.500 0.500 0.500
Y 0.834 0.166 0.500
Ho 0.085 0.417 0.252
Ho 0.248 0.248 0.748
Ho 0.417 0.085 0.252
Ho 0.583 0.915 0.748
Ho 0.752 0.752 0.252
Ho 0.915 0.583 0.748

Values from the calculation:
Total magnetization (μB/f.u.): 0.0
Crystal system: monoclinic
Volume (Å³/atom): 32.181
Formation enthalpy at 0 K (eV per atom): 0.02
SG: No. 12

# 14
The following is a PBE calculation of a relaxed TbPr2YHo2 crystal, from Alexandria.

a b c (Å): 7.073 5.685 9.852
angles (deg): 90.00 90.00 90.00
Fractional positions:
Tb 0.250 0.000 0.160
Tb 0.750 0.000 0.840
Pr 0.000 0.000 0.500
Pr 0.250 0.500 0.676
Pr 0.500 0.000 0.500
Pr 0.750 0.500 0.324
Y 0.000 0.500 0.000
Y 0.500 0.500 0.000
Ho 0.250 0.000 0.833
Ho 0.250 0.500 0.335
Ho 0.750 0.000 0.167
Ho 0.750 0.500 0.665

Values from the calculation:
Total magnetization (μB/f.u.): 0.0
Crystal system: orthorhombic
Volume (Å³/atom): 33.007
Formation enthalpy at 0 K (eV per atom): 0.06
SG: No. 51

# 15
The following is a PBE calculation of a relaxed TbPr2Y6Ho3 crystal, from Alexandria.

a b c (Å): 6.207 6.207 11.855
angles (deg): 94.99 94.99 119.96
Fractional positions:
Tb 0.000 0.000 0.000
Pr 0.333 0.667 0.000
Pr 0.667 0.333 0.000
Y 0.085 0.417 0.253
Y 0.248 0.248 0.746
Y 0.417 0.085 0.253
Y 0.583 0.915 0.747
Y 0.752 0.752 0.254
Y 0.915 0.583 0.747
Ho 0.167 0.833 0.500
Ho 0.500 0.500 0.500
Ho 0.833 0.167 0.500

Values from the calculation:
Total magnetization (μB/f.u.): 0.0
Crystal system: monoclinic
Volume (Å³/atom): 32.473
Formation enthalpy at 0 K (eV per atom): 0.02
SG: No. 12

# 16
The following is a PBE calculation of a relaxed Tb3PrY2Ho6 crystal, from Alexandria.

a b c (Å): 6.157 6.157 11.790
angles (deg): 94.97 94.97 119.96
Fractional positions:
Tb 0.000 0.000 0.000
Tb 0.333 0.667 0.000
Tb 0.667 0.333 0.000
Pr 0.500 0.500 0.500
Y 0.167 0.833 0.500
Y 0.833 0.167 0.500
Ho 0.082 0.416 0.248
Ho 0.251 0.251 0.752
Ho 0.416 0.082 0.248
Ho 0.584 0.918 0.752
Ho 0.749 0.749 0.248
Ho 0.918 0.584 0.752

Values from the calculation:
Total magnetization (μB/f.u.): 0.0
Crystal system: monoclinic
Volume (Å³/atom): 31.786
Formation enthalpy at 0 K (eV per atom): 0.02
SG: No. 12

# 17
The following is a PBE calculation of a relaxed Tb6PrYHo2 crystal, from Alexandria.

a b c (Å): 8.813 8.813 9.647
angles (deg): 94.08 94.08 117.94
Fractional positions:
Tb 0.026 0.572 0.182
Tb 0.121 0.752 0.555
Tb 0.248 0.879 0.945
Tb 0.292 0.502 0.379
Tb 0.428 0.974 0.318
Tb 0.498 0.708 0.121
Tb 0.502 0.292 0.879
Tb 0.572 0.026 0.682
Tb 0.708 0.498 0.621
Tb 0.752 0.121 0.055
Tb 0.879 0.248 0.445
Tb 0.974 0.428 0.818
Pr 0.406 0.594 0.750
Pr 0.594 0.406 0.250
Y 0.024 0.976 0.250
Y 0.976 0.024 0.750
Ho 0.193 0.298 0.044
Ho 0.298 0.193 0.544
Ho 0.702 0.807 0.456
Ho 0.807 0.702 0.956

Values from the calculation:
Total magnetization (μB/f.u.): 0.0
Crystal system: monoclinic
Volume (Å³/atom): 32.781
Formation enthalpy at 0 K (eV per atom): 0.12
SG: No. 15

# 18
The following is a PBE calculation of a relaxed TbPr2Y4Ho2 crystal, from Alexandria.

a b c (Å): 6.209 6.223 8.032
angles (deg): 82.58 75.15 80.27
Fractional positions:
Tb 0.000 0.000 0.000
Pr 0.330 0.669 0.667
Pr 0.670 0.331 0.333
Y 0.223 0.446 0.112
Y 0.444 0.890 0.221
Y 0.556 0.110 0.779
Y 0.777 0.554 0.888
Ho 0.109 0.223 0.556
Ho 0.891 0.777 0.444

Values from the calculation:
Total magnetization (μB/f.u.): 0.0
Crystal system: triclinic
Volume (Å³/atom): 32.718
Formation enthalpy at 0 K (eV per atom): 0.02
SG: No. 2

# 19
The following is a PBE calculation of a relaxed Tb5PrYHo2 crystal, from Alexandria.

a b c (Å): 10.329 10.329 10.616
angles (deg): 90.00 90.00 148.36
Fractional positions:
Tb 0.018 0.982 0.500
Tb 0.282 0.718 0.787
Tb 0.298 0.702 0.186
Tb 0.388 0.612 0.499
Tb 0.479 0.521 0.214
Tb 0.521 0.479 0.714
Tb 0.612 0.388 0.999
Tb 0.702 0.298 0.686
Tb 0.718 0.282 0.287
Tb 0.982 0.018 0.000
Pr 0.416 0.584 0.928
Pr 0.584 0.416 0.428
Y 0.200 0.800 0.488
Y 0.800 0.200 0.988
Ho 0.111 0.889 0.210
Ho 0.114 0.886 0.796
Ho 0.886 0.114 0.296
Ho 0.889 0.111 0.710

Values from the calculation:
Total magnetization (μB/f.u.): 0.0
Crystal system: orthorhombic
Volume (Å³/atom): 33.002
Formation enthalpy at 0 K (eV per atom): 0.16
SG: No. 36

# 20
The following is a PBE calculation of a relaxed Tb2Pr2Y2Ho crystal, from Alexandria.

a b c (Å): 11.835 3.535 11.898
angles (deg): 90.00 108.73 90.00
Fractional positions:
Tb 0.228 0.000 0.366
Tb 0.272 0.500 0.634
Tb 0.728 0.500 0.366
Tb 0.772 0.000 0.634
Pr 0.173 0.500 0.086
Pr 0.327 0.000 0.914
Pr 0.673 0.000 0.086
Pr 0.827 0.500 0.914
Y 0.048 0.500 0.770
Y 0.452 0.000 0.230
Y 0.548 0.000 0.770
Y 0.952 0.500 0.230
Ho 0.000 0.000 0.500
Ho 0.500 0.500 0.500

Values from the calculation:
Total magnetization (μB/f.u.): 0.0
Crystal system: monoclinic
Volume (Å³/atom): 33.676
Formation enthalpy at 0 K (eV per atom): 0.08
SG: No. 12